This record from the Alexandria database describes an optimized crystal structure of ReSb2Pb. The functional is PBE-GGA.

Structure (POSCAR):
```
ReSb2Pb
1.0
3.4244 0.0000 0.0000
0.0000 3.4244 0.0000
0.0000 0.0000 8.0742
Re Sb Pb
1 2 1
Direct
0.0000 0.0000 0.0000
0.0000 0.0000 0.4189
0.5000 0.5000 0.1591
0.5000 0.5000 0.7529
```

formation energy from raw total energies = 0.491 eV per atom
total DFT energy (no corrections) = -22.439 eV for the cell shown
volume = 94.68 Å³/cell